First-principles (PBE with a Hubbard U) data for an optimized crystal structure of GdCoNO, as listed in OQMD.

The structure in CIF format:
```
data_GdCoNO
_chemical_formula_sum 'Gd1 Co1 N1 O1'
_cell_length_a 3.4237
_cell_length_b 3.4237
_cell_length_c 4.3745
_cell_angle_alpha 90.00
_cell_angle_beta 90.00
_cell_angle_gamma 90.00
_space_group_name_H-M_alt 'P 4/m m m'
_space_group_IT_number 123
_space_group_name_Hall '-P 4 2'
loop_
_atom_site_label
_atom_site_type_symbol
_atom_site_fract_x
_atom_site_fract_y
_atom_site_fract_z
Gd1 Gd 0.0000 0.0000 0.0000
Co1 Co 0.5000 0.5000 0.5000
N1 N 0.5000 0.5000 0.0000
O1 O 0.0000 0.0000 0.5000
```

Computed properties:
M_tot	2.99	μB/f.u.
DFT total energy	-6.953	eV per atom
crystal system	tetragonal